1.
Material: LaMn3Ni2
Method: DFT, PBE-GGA
State: relaxed

Summary:
The value obtained for the mass density is 6.98 g cm⁻³. Its space group is P6/mmm, No. 191.

Cell and atoms, written as CIF:
```
data_LaMn3Ni2
_chemical_formula_sum 'La3 Mn9 Ni6'
_symmetry_space_group_name_H-M 'P 1'
_symmetry_Int_Tables_number 1
_symmetry_space_group_name_Hall 'P 1'
_cell_length_a 9.1337
_cell_length_b 9.1337
_cell_length_c 4.1591
_cell_angle_alpha 90.00
_cell_angle_beta 90.00
_cell_angle_gamma 119.99
loop_
_atom_site_label
_atom_site_type_symbol
_atom_site_fract_x
_atom_site_fract_y
_atom_site_fract_z
_atom_site_occupancy
Ni1 Ni 0.1799 0.3598 0.0000 1
Ni2 Ni 0.6402 0.8201 0.0000 1
Ni3 Ni 0.1799 0.8201 0.0000 1
Ni4 Ni 0.8201 0.6402 0.0000 1
Ni5 Ni 0.3598 0.1799 0.0000 1
Ni6 Ni 0.8201 0.1799 0.0000 1
Mn1 Mn 0.3040 0.0000 0.5000 1
Mn2 Mn 0.0000 0.3040 0.5000 1
Mn3 Mn 0.6960 0.6960 0.5000 1
Mn4 Mn 0.6960 0.0000 0.5000 1
Mn5 Mn 0.0000 0.6960 0.5000 1
Mn6 Mn 0.3040 0.3040 0.5000 1
Mn7 Mn 0.5000 0.0000 0.0000 1
Mn8 Mn 0.0000 0.5000 0.0000 1
Mn9 Mn 0.5000 0.5000 0.0000 1
La1 La 0.0000 0.0000 0.0000 1
La2 La 0.3334 0.6666 0.5000 1
La3 La 0.6666 0.3334 0.5000 1
```



2.
Material: Ta3Fe
Method: DFT, PBE-GGA
State: relaxed

Summary:
The value obtained for the mass density is 14.94 g cm⁻³. Its space group is P6_3/mmc, No. 194.

Cell and atoms, written as CIF:
```
data_Ta3Fe
_chemical_formula_sum 'Ta6 Fe2'
_symmetry_space_group_name_H-M 'P 1'
_symmetry_Int_Tables_number 1
_symmetry_space_group_name_Hall 'P 1'
_cell_length_a 5.5999
_cell_length_b 5.5999
_cell_length_c 4.8989
_cell_angle_alpha 90.00
_cell_angle_beta 90.00
_cell_angle_gamma 120.00
loop_
_atom_site_label
_atom_site_type_symbol
_atom_site_fract_x
_atom_site_fract_y
_atom_site_fract_z
_atom_site_occupancy
Ta1 Ta 0.8294 0.1706 0.2500 1
Ta2 Ta 0.1706 0.8294 0.7500 1
Ta3 Ta 0.8294 0.6587 0.2500 1
Ta4 Ta 0.1706 0.3413 0.7500 1
Ta5 Ta 0.3413 0.1706 0.2500 1
Ta6 Ta 0.6587 0.8294 0.7500 1
Fe1 Fe 0.3333 0.6667 0.2500 1
Fe2 Fe 0.6667 0.3333 0.7500 1
```



| no. | formation energy (eV/atom) | E_tot (eV per atom) |
| --- | --- | --- |
| 1 | -0.014 | -7.347 |
| 2 | 0.261 | -10.744 |